1.
Computed, not measured: a relaxed TbPmInPt crystal at the GGA-PBE level of DFT.

Results
* E_tot: -21.0 eV/cell

CIF file:
```
data_TbPmInPt
_cell_length_a 5.2095
_cell_length_b 5.2095
_cell_length_c 5.2095
_cell_angle_alpha 60.00
_cell_angle_beta 60.00
_cell_angle_gamma 60.00
_symmetry_space_group_name_H-M 'P 1'
_symmetry_Int_Tables_number 1
loop_
_symmetry_equiv_pos_as_xyz
'x,y,z'
loop_
_atom_site_label
_atom_site_type_symbol
_atom_site_fract_x
_atom_site_fract_y
_atom_site_fract_z
Tb1 Tb 0.0000 0.0000 0.0000
Pm1 Pm 0.5000 0.5000 0.5000
In1 In 0.2500 0.2500 0.2500
Pt1 Pt 0.7500 0.7500 0.7500
```

***

2.
Computed, not measured: a relaxed PmYInPt crystal at the GGA-PBE level of DFT.

Results
* E_tot: -22.8 eV/cell

CIF file:
```
data_PmYInPt
_cell_length_a 5.2024
_cell_length_b 5.2024
_cell_length_c 5.2024
_cell_angle_alpha 60.00
_cell_angle_beta 60.00
_cell_angle_gamma 60.00
_symmetry_space_group_name_H-M 'P 1'
_symmetry_Int_Tables_number 1
loop_
_symmetry_equiv_pos_as_xyz
'x,y,z'
loop_
_atom_site_label
_atom_site_type_symbol
_atom_site_fract_x
_atom_site_fract_y
_atom_site_fract_z
Pm1 Pm 0.0000 0.0000 0.0000
Y1 Y 0.5000 0.5000 0.5000
In1 In 0.2500 0.2500 0.2500
Pt1 Pt 0.7500 0.7500 0.7500
```

***

3.
Computed, not measured: a relaxed Pm2Zn4InPt3 crystal at the GGA-PBE level of DFT.

Results
* E_tot: -42.3 eV/cell

CIF file:
```
data_Pm2Zn4InPt3
_cell_length_a 4.0726
_cell_length_b 4.0726
_cell_length_c 11.8994
_cell_angle_alpha 90.00
_cell_angle_beta 90.00
_cell_angle_gamma 90.00
_symmetry_space_group_name_H-M 'P 1'
_symmetry_Int_Tables_number 1
loop_
_symmetry_equiv_pos_as_xyz
'x,y,z'
loop_
_atom_site_label
_atom_site_type_symbol
_atom_site_fract_x
_atom_site_fract_y
_atom_site_fract_z
Pm1 Pm 0.0000 0.5000 0.2358
Pm2 Pm 0.5000 0.0000 0.7642
Zn1 Zn 0.0000 0.0000 0.0000
Zn2 Zn 0.0000 0.5000 0.6472
Zn3 Zn 0.5000 0.0000 0.3528
Zn4 Zn 0.5000 0.5000 0.0000
In1 In 0.0000 0.0000 0.5000
Pt1 Pt 0.0000 0.5000 0.8600
Pt2 Pt 0.5000 0.0000 0.1400
Pt3 Pt 0.5000 0.5000 0.5000
```

***

4.
Computed, not measured: a relaxed Pm2Zn3InPt4 crystal at the GGA-PBE level of DFT.

Results
* E_tot: -47.8 eV/cell

CIF file:
```
data_Pm2Zn3InPt4
_cell_length_a 4.2005
_cell_length_b 4.2005
_cell_length_c 11.2138
_cell_angle_alpha 90.00
_cell_angle_beta 90.00
_cell_angle_gamma 90.00
_symmetry_space_group_name_H-M 'P 1'
_symmetry_Int_Tables_number 1
loop_
_symmetry_equiv_pos_as_xyz
'x,y,z'
loop_
_atom_site_label
_atom_site_type_symbol
_atom_site_fract_x
_atom_site_fract_y
_atom_site_fract_z
Pm1 Pm 0.0000 0.5000 0.2350
Pm2 Pm 0.5000 0.0000 0.7650
Zn1 Zn 0.0000 0.5000 0.8721
Zn2 Zn 0.5000 0.0000 0.1279
Zn3 Zn 0.5000 0.5000 0.5000
In1 In 0.0000 0.0000 0.5000
Pt1 Pt 0.0000 0.0000 0.0000
Pt2 Pt 0.0000 0.5000 0.6517
Pt3 Pt 0.5000 0.0000 0.3483
Pt4 Pt 0.5000 0.5000 0.0000
```

***

5.
Computed, not measured: a relaxed Pm2ZnInPt6 crystal at the GGA-PBE level of DFT.

Results
* E_tot: -57.0 eV/cell

CIF file:
```
data_Pm2ZnInPt6
_cell_length_a 5.6013
_cell_length_b 5.6015
_cell_length_c 8.9805
_cell_angle_alpha 108.12
_cell_angle_beta 90.02
_cell_angle_gamma 120.00
_symmetry_space_group_name_H-M 'P 1'
_symmetry_Int_Tables_number 1
loop_
_symmetry_equiv_pos_as_xyz
'x,y,z'
loop_
_atom_site_label
_atom_site_type_symbol
_atom_site_fract_x
_atom_site_fract_y
_atom_site_fract_z
Pm1 Pm 0.2006 0.4009 0.1019
Pm2 Pm 0.7994 0.5991 0.8981
Zn1 Zn 0.5000 0.0000 0.0000
In1 In 0.0000 0.0000 0.5000
Pt1 Pt 0.2431 0.9872 0.2326
Pt2 Pt 0.2555 0.0128 0.7675
Pt3 Pt 0.2553 0.5111 0.7673
Pt4 Pt 0.7447 0.4889 0.2327
Pt5 Pt 0.7445 0.9872 0.2325
Pt6 Pt 0.7569 0.0128 0.7674
```

***

6.
Computed, not measured: a relaxed Pm5PuIn6 crystal at the GGA-PBE level of DFT.

Results
* E_tot: -59.6 eV/cell

CIF file:
```
data_Pm5PuIn6
_cell_length_a 9.4118
_cell_length_b 9.4118
_cell_length_c 9.4118
_cell_angle_alpha 146.44
_cell_angle_beta 131.86
_cell_angle_gamma 59.96
_symmetry_space_group_name_H-M 'P 1'
_symmetry_Int_Tables_number 1
loop_
_symmetry_equiv_pos_as_xyz
'x,y,z'
loop_
_atom_site_label
_atom_site_type_symbol
_atom_site_fract_x
_atom_site_fract_y
_atom_site_fract_z
Pm1 Pm 0.0000 0.0000 0.0000
Pm2 Pm 0.1680 0.6680 0.5000
Pm3 Pm 0.3370 0.3370 0.0000
Pm4 Pm 0.6630 0.6630 0.0000
Pm5 Pm 0.8320 0.3320 0.5000
Pu1 Pu 0.5000 0.0000 0.5000
In1 In 0.0804 0.8326 0.2479
In2 In 0.2461 0.5000 0.7461
In3 In 0.4153 0.1674 0.2479
In4 In 0.5847 0.8326 0.7521
In5 In 0.7539 0.5000 0.2539
In6 In 0.9196 0.1674 0.7521
```

***

7.
Computed, not measured: a relaxed PmPuIn crystal at the GGA-PBE level of DFT.

Results
* E_tot: -22.1 eV/cell
* polymorph energy (0 for the lowest one): 0.000 eV/f.u.

CIF file:
```
data_PmPuIn
_cell_length_a 6.8856
_cell_length_b 6.8856
_cell_length_c 6.8856
_cell_angle_alpha 148.83
_cell_angle_beta 148.83
_cell_angle_gamma 44.66
_symmetry_space_group_name_H-M 'P 1'
_symmetry_Int_Tables_number 1
loop_
_symmetry_equiv_pos_as_xyz
'x,y,z'
loop_
_atom_site_label
_atom_site_type_symbol
_atom_site_fract_x
_atom_site_fract_y
_atom_site_fract_z
Pm1 Pm 0.0000 0.0000 0.0000
Pu1 Pu 0.3151 0.3151 0.0000
In1 In 0.6595 0.6595 0.0000
```

***

8.
Computed, not measured: a relaxed Pm2PuIn3 crystal at the GGA-PBE level of DFT.

Results
* E_tot: -34.1 eV/cell

CIF file:
```
data_Pm2PuIn3
_cell_length_a 3.8064
_cell_length_b 3.8064
_cell_length_c 11.6526
_cell_angle_alpha 90.00
_cell_angle_beta 90.00
_cell_angle_gamma 90.00
_symmetry_space_group_name_H-M 'P 1'
_symmetry_Int_Tables_number 1
loop_
_symmetry_equiv_pos_as_xyz
'x,y,z'
loop_
_atom_site_label
_atom_site_type_symbol
_atom_site_fract_x
_atom_site_fract_y
_atom_site_fract_z
Pm1 Pm 0.0000 0.0000 0.1686
Pm2 Pm 0.0000 0.0000 0.8314
Pu1 Pu 0.0000 0.0000 0.5000
In1 In 0.5000 0.5000 0.0000
In2 In 0.5000 0.5000 0.3361
In3 In 0.5000 0.5000 0.6639
```

***

9.
Computed, not measured: a relaxed Pm5PuIn3 crystal at the GGA-PBE level of DFT.

Results
* E_tot: -98.3 eV/cell

CIF file:
```
data_Pm5PuIn3
_cell_length_a 9.5496
_cell_length_b 9.5496
_cell_length_c 6.7763
_cell_angle_alpha 90.00
_cell_angle_beta 90.00
_cell_angle_gamma 120.00
_symmetry_space_group_name_H-M 'P 1'
_symmetry_Int_Tables_number 1
loop_
_symmetry_equiv_pos_as_xyz
'x,y,z'
loop_
_atom_site_label
_atom_site_type_symbol
_atom_site_fract_x
_atom_site_fract_y
_atom_site_fract_z
Pm1 Pm 0.0000 0.3175 0.2500
Pm2 Pm 0.0000 0.6825 0.7500
Pm3 Pm 0.3175 0.0000 0.2500
Pm4 Pm 0.3175 0.3175 0.7500
Pm5 Pm 0.3333 0.6667 0.0000
Pm6 Pm 0.3333 0.6667 0.5000
Pm7 Pm 0.6667 0.3333 0.0000
Pm8 Pm 0.6667 0.3333 0.5000
Pm9 Pm 0.6825 0.0000 0.7500
Pm10 Pm 0.6825 0.6825 0.2500
Pu1 Pu 0.0000 0.0000 0.0000
Pu2 Pu 0.0000 0.0000 0.5000
In1 In 0.0000 0.3454 0.7500
In2 In 0.0000 0.6546 0.2500
In3 In 0.3454 0.0000 0.7500
In4 In 0.3454 0.3454 0.2500
In5 In 0.6546 0.0000 0.2500
In6 In 0.6546 0.6546 0.7500
```

***

10.
Computed, not measured: a relaxed Pm3PuIn4 crystal at the GGA-PBE level of DFT.

Results
* E_tot: -42.6 eV/cell

CIF file:
```
data_Pm3PuIn4
_cell_length_a 3.8188
_cell_length_b 3.8188
_cell_length_c 15.4925
_cell_angle_alpha 90.00
_cell_angle_beta 90.00
_cell_angle_gamma 90.00
_symmetry_space_group_name_H-M 'P 1'
_symmetry_Int_Tables_number 1
loop_
_symmetry_equiv_pos_as_xyz
'x,y,z'
loop_
_atom_site_label
_atom_site_type_symbol
_atom_site_fract_x
_atom_site_fract_y
_atom_site_fract_z
Pm1 Pm 0.0000 0.0000 0.0000
Pm2 Pm 0.0000 0.0000 0.2525
Pm3 Pm 0.0000 0.0000 0.7475
Pu1 Pu 0.0000 0.0000 0.5000
In1 In 0.5000 0.5000 0.1267
In2 In 0.5000 0.5000 0.3772
In3 In 0.5000 0.5000 0.6228
In4 In 0.5000 0.5000 0.8733
```

***

11.
Computed, not measured: a relaxed PmPuIn crystal at the GGA-PBE level of DFT.

Results
* E_tot: -43.0 eV/cell
* polymorph energy (0 for the lowest one): 0.637 eV/f.u.

CIF file:
```
data_PmPuIn
_cell_length_a 4.7139
_cell_length_b 4.7139
_cell_length_c 8.0809
_cell_angle_alpha 90.00
_cell_angle_beta 90.00
_cell_angle_gamma 90.00
_symmetry_space_group_name_H-M 'P 1'
_symmetry_Int_Tables_number 1
loop_
_symmetry_equiv_pos_as_xyz
'x,y,z'
loop_
_atom_site_label
_atom_site_type_symbol
_atom_site_fract_x
_atom_site_fract_y
_atom_site_fract_z
Pm1 Pm 0.2500 0.2500 0.1985
Pm2 Pm 0.7500 0.7500 0.8015
Pu1 Pu 0.2500 0.2500 0.7795
Pu2 Pu 0.7500 0.7500 0.2205
In1 In 0.2500 0.7500 0.5000
In2 In 0.7500 0.2500 0.5000
```

***

12.
Computed, not measured: a relaxed PmPuIn4 crystal at the GGA-PBE level of DFT.

Results
* E_tot: -31.9 eV/cell
* polymorph energy (0 for the lowest one): 0.000 eV/f.u.

CIF file:
```
data_PmPuIn4
_cell_length_a 3.5830
_cell_length_b 5.0271
_cell_length_c 8.7512
_cell_angle_alpha 90.00
_cell_angle_beta 90.03
_cell_angle_gamma 90.00
_symmetry_space_group_name_H-M 'P 1'
_symmetry_Int_Tables_number 1
loop_
_symmetry_equiv_pos_as_xyz
'x,y,z'
loop_
_atom_site_label
_atom_site_type_symbol
_atom_site_fract_x
_atom_site_fract_y
_atom_site_fract_z
Pm1 Pm 0.0000 0.0000 0.0000
Pu1 Pu 0.0000 0.5000 0.5000
In1 In 0.4979 0.0000 0.6666
In2 In 0.4978 0.5000 0.1661
In3 In 0.5021 0.0000 0.3334
In4 In 0.5022 0.5000 0.8339
```

***

Record-wise formation energy from the elements values, in eV per atom: -0.6999; -0.7124; -0.6835; -0.7545; -0.7234; -0.4214; -0.1047; -0.3458; -0.3169; -0.3835; 0.1078; -0.3068